[1]
Here is a relaxed Ac7Ag2Ir2 crystal from Alexandria via LeMat-Bulk. Energies are from PBE-GGA.

Cell and atoms, written as POSCAR:
```
Ac7Ag2Ir2
1.0
7.345 -0.003 -1.048
0.004 7.656 0.003
-1.503 -0.002 7.265
Ac Ag Ir
7 2 2
Direct
0.000 0.255 0.500 Ac
0.500 0.745 0.000 Ac
0.000 0.745 0.500 Ac
0.500 0.255 0.000 Ac
0.000 0.000 0.000 Ac
0.500 0.754 0.500 Ac
0.500 0.246 0.500 Ac
0.829 0.500 0.829 Ag
0.171 0.500 0.171 Ag
0.705 0.000 0.295 Ir
0.295 0.000 0.705 Ir
```

Summary:
- SG = Cmmm, No. 65
- DFT formation energy (meV per atom) = -287.8

---

[2]
Here is a relaxed CsErAg2Cl6 crystal from Alexandria via LeMat-Bulk. Energies are from PBE-GGA.

Cell and atoms, written as POSCAR:
```
CsErAg2Cl6
1.0
-4.621 0.028 -5.488
-6.904 -1.592 1.112
-5.128 5.847 -0.342
Cs Er Ag Cl
1 1 2 6
Direct
0.791 0.791 0.628 Cs
0.328 0.328 0.015 Er
0.522 0.522 0.434 Ag
0.997 0.998 0.008 Ag
0.571 0.271 0.222 Cl
0.272 0.935 0.222 Cl
0.935 0.571 0.222 Cl
0.301 0.733 0.755 Cl
0.733 0.211 0.754 Cl
0.211 0.301 0.755 Cl
```

Summary:
- SG = R3, No. 146
- uncorrected formation energy (eV per atom) = -1.484

---

[3]
Here is a relaxed Cr2FePd crystal from Alexandria via LeMat-Bulk. Energies are from PBE-GGA.

Cell and atoms, written as POSCAR:
```
Cr2FePd
1.0
-1.990 -2.745 2.473
-3.672 -1.634 -1.208
-0.235 -4.040 -1.112
Cr Fe Pd
2 1 1
Direct
0.250 0.250 0.250 Cr
0.750 0.750 0.750 Cr
0.000 0.000 0.000 Fe
0.500 0.500 0.500 Pd
```

Summary:
- SG = Fm-3m, No. 225
- DFT formation energy (meV per atom) = 359.1

---

The following size of the total moment values (in μB per cell) correspond, in order, to the records above: 0.0; 0.0; 6.0.